A plane-wave DFT calculation with PBE was carried out for a geometry-optimized SrLa2GaN structure.

Cell: 5.0725 5.0725 5.1942 Å, 90.00 90.00 90.00°
Closest atoms and distances in Å follow each position.
Sites, in units of the cell vectors:
La: 0.5000 0.0000 0.0000  2 N 2.54
N: 0.0000 0.0000 0.0000  4 La 2.54, 2 Sr 2.60
Sr: 0.0000 0.0000 0.5000  2 N 2.60
Ga: 0.5000 0.5000 0.5000  4 Sr 3.59, 8 La 3.63
La: 0.0000 0.5000 0.0000  2 N 2.54

Output
Fermi-level density of states = 3.16 states/eV/f.u.
Formation energy (no corrections) = -711.4 meV per atom